Here is crystalline Ir2OsBr at its relaxed geometry from the Alexandria database. Energies are from PBE.

Properties
As for the formation energy (no corrections): 5.6 eV/f.u. As for the offset from the most stable computed form: 793.6 meV per atom. The calculation puts the uncorrected energy at -6.26 eV/atom.

a = 4.062 Å, b = 3.927 Å, c = 3.927 Å
α = 90.00°, β = 90.00°, γ = 90.00°
Element x y z (fractional)
Ir 0.000 0.500 0.500
Ir 0.000 0.000 0.000
Br 0.500 0.000 0.500
Os 0.500 0.500 0.000